Rb3Sn9Hg2 | PBE | optimized geometry

Output
* raw total energy: -2.9295 eV/atom
* total moment: 0.00 μB per formula unit
* ΔH_f (0 K): -0.1058 eV/atom
* D(E_F): 0.43 states/eV/atom

```
data_Rb3Sn9Hg2
_symmetry_space_group_name_H-M 'I m m m'
_symmetry_Int_Tables_number 71
_symmetry_space_group_name_Hall '-I 2 2'
_cell_length_a 5.355
_cell_length_b 10.895
_cell_length_c 15.627
_cell_angle_alpha 90.00
_cell_angle_beta 90.00
_cell_angle_gamma 90.00
loop_
_atom_site_label
_atom_site_type_symbol
_atom_site_fract_x
_atom_site_fract_y
_atom_site_fract_z
Rb1 Rb 0.000 0.000 0.000
Rb2 Rb 0.000 0.000 0.312
Sn1 Sn 0.000 0.273 0.144
Sn2 Sn 0.000 0.362 0.331
Sn3 Sn 0.000 0.500 0.000
Hg1 Hg 0.000 0.190 0.500
```

---

RbSn3Hg | PBE | optimized geometry

Output
* raw total energy: -2.8034 eV/atom
* total moment: 0.00 μB per formula unit
* ΔH_f (0 K): -0.1478 eV/atom
* D(E_F): 0.49 states/eV/atom

```
data_RbSn3Hg
_symmetry_space_group_name_H-M 'I m m 2'
_symmetry_Int_Tables_number 44
_cell_length_a 4.961
_cell_length_b 5.397
_cell_length_c 12.123
_cell_angle_alpha 90.00
_cell_angle_beta 90.00
_cell_angle_gamma 90.00
loop_
_symmetry_equiv_pos_as_xyz
'x,y,z'
'-x,-y,z'
'-x,y,z'
'x,-y,z'
'x+1/2,y+1/2,z+1/2'
'-x+1/2,-y+1/2,z+1/2'
'-x+1/2,y+1/2,z+1/2'
'x+1/2,-y+1/2,z+1/2'
loop_
_atom_site_label
_atom_site_type_symbol
_atom_site_fract_x
_atom_site_fract_y
_atom_site_fract_z
Rb1 Rb 0.000 0.000 0.000
Sn1 Sn 0.000 0.000 0.618
Sn2 Sn 0.000 0.500 0.261
Sn3 Sn 0.000 0.500 0.744
Hg1 Hg 0.000 0.000 0.380
```

---

Rb3Sn4Hg4 | PBE | optimized geometry

Output
* raw total energy: -1.9921 eV/atom
* total moment: 0.00 μB per formula unit
* ΔH_f (0 K): -0.1628 eV/atom
* D(E_F): 0.51 states/eV/atom

```
data_Rb3Sn4Hg4
_symmetry_space_group_name_H-M 'I m m m'
_symmetry_Int_Tables_number 71
_symmetry_space_group_name_Hall '-I 2 2'
_cell_length_a 5.063
_cell_length_b 5.425
_cell_length_c 28.781
_cell_angle_alpha 90.00
_cell_angle_beta 90.00
_cell_angle_gamma 90.00
loop_
_atom_site_label
_atom_site_type_symbol
_atom_site_fract_x
_atom_site_fract_y
_atom_site_fract_z
Rb1 Rb 0.000 0.000 0.000
Rb2 Rb 0.000 0.500 0.350
Sn1 Sn 0.000 0.000 0.451
Sn2 Sn 0.000 0.500 0.198
Hg1 Hg 0.000 0.000 0.251
Hg2 Hg 0.000 0.500 0.098
```

---

Rb2SnHg2 | PBE | optimized geometry

Output
* raw total energy: -1.5074 eV/atom
* total moment: 0.00 μB per formula unit
* ΔH_f (0 K): -0.1991 eV/atom
* D(E_F): 0.53 states/eV/atom

```
data_Rb2SnHg2
_symmetry_space_group_name_H-M 'C 1 2/m 1'
_symmetry_Int_Tables_number 12
_cell_length_a 13.518
_cell_length_b 5.089
_cell_length_c 13.111
_cell_angle_alpha 90.00
_cell_angle_beta 115.40
_cell_angle_gamma 90.00
loop_
_symmetry_equiv_pos_as_xyz
'x,y,z'
'-x,-y,-z'
'-x,y,-z'
'x,-y,z'
'x+1/2,y+1/2,z'
'-x+1/2,-y+1/2,-z'
'-x+1/2,y+1/2,-z'
'x+1/2,-y+1/2,z'
loop_
_atom_site_label
_atom_site_type_symbol
_atom_site_fract_x
_atom_site_fract_y
_atom_site_fract_z
Rb1 Rb 0.002 0.000 0.159
Rb2 Rb 0.198 0.000 0.610
Sn1 Sn 0.213 0.500 0.834
Hg1 Hg 0.009 0.500 0.387
Hg2 Hg 0.193 0.500 0.056
```

---

RbSn2Hg4 | PBE | optimized geometry

Output
* raw total energy: -1.5272 eV/atom
* total moment: 0.00 μB per formula unit
* ΔH_f (0 K): -0.0728 eV/atom
* D(E_F): 0.49 states/eV/atom

```
data_RbSn2Hg4
_symmetry_space_group_name_H-M 'C m m m'
_symmetry_Int_Tables_number 65
_symmetry_space_group_name_Hall '-C 2 2'
_cell_length_a 5.232
_cell_length_b 15.207
_cell_length_c 5.517
_cell_angle_alpha 90.00
_cell_angle_beta 90.00
_cell_angle_gamma 90.00
loop_
_atom_site_label
_atom_site_type_symbol
_atom_site_fract_x
_atom_site_fract_y
_atom_site_fract_z
Rb1 Rb 0.000 0.000 0.000
Sn1 Sn 0.000 0.403 0.500
Hg1 Hg 0.000 0.180 0.500
Hg2 Hg 0.000 0.304 0.000
```

---

Rb3Sn2Hg9 | PBE | optimized geometry

Output
* raw total energy: -1.1396 eV/atom
* total moment: 0.00 μB per formula unit
* ΔH_f (0 K): -0.1664 eV/atom
* D(E_F): 0.37 states/eV/atom

```
data_Rb3Sn2Hg9
_symmetry_space_group_name_H-M 'I m m m'
_symmetry_Int_Tables_number 71
_symmetry_space_group_name_Hall '-I 2 2'
_cell_length_a 5.657
_cell_length_b 10.075
_cell_length_c 15.901
_cell_angle_alpha 90.00
_cell_angle_beta 90.00
_cell_angle_gamma 90.00
loop_
_atom_site_label
_atom_site_type_symbol
_atom_site_fract_x
_atom_site_fract_y
_atom_site_fract_z
Rb1 Rb 0.000 0.000 0.000
Rb2 Rb 0.000 0.000 0.278
Sn1 Sn 0.000 0.152 0.500
Hg1 Hg 0.000 0.300 0.146
Hg2 Hg 0.000 0.347 0.347
Hg3 Hg 0.000 0.500 0.000
```

---

RbSn3Hg3 | PBE | optimized geometry

Output
* raw total energy: -1.9538 eV/atom
* total moment: 0.00 μB per formula unit
* ΔH_f (0 K): 0.0292 eV/atom
* D(E_F): 0.54 states/eV/atom

```
data_RbSn3Hg3
_symmetry_space_group_name_H-M 'P m -3 n'
_symmetry_Int_Tables_number 223
_symmetry_space_group_name_Hall '-P 4n 2 3'
_cell_length_a 8.082
_cell_length_b 8.082
_cell_length_c 8.082
_cell_angle_alpha 90.00
_cell_angle_beta 90.00
_cell_angle_gamma 90.00
loop_
_atom_site_label
_atom_site_type_symbol
_atom_site_fract_x
_atom_site_fract_y
_atom_site_fract_z
Rb1 Rb 0.000 0.000 0.000
Sn1 Sn 0.000 0.250 0.500
Hg1 Hg 0.000 0.500 0.250
```

---

RbSnHg6 | PBE | optimized geometry

Output
* raw total energy: -0.9479 eV/atom
* total moment: 0.00 μB per formula unit
* ΔH_f (0 K): -0.1003 eV/atom
* D(E_F): 0.40 states/eV/atom

```
data_RbSnHg6
_symmetry_space_group_name_H-M 'P -1'
_symmetry_Int_Tables_number 2
_cell_length_a 5.155
_cell_length_b 7.006
_cell_length_c 8.114
_cell_angle_alpha 115.56
_cell_angle_beta 107.78
_cell_angle_gamma 90.22
loop_
_symmetry_equiv_pos_as_xyz
'x,y,z'
'-x,-y,-z'
loop_
_atom_site_label
_atom_site_type_symbol
_atom_site_fract_x
_atom_site_fract_y
_atom_site_fract_z
Rb1 Rb 0.000 0.000 0.000
Sn1 Sn 0.500 0.500 0.000
Hg1 Hg 0.124 0.625 0.252
Hg2 Hg 0.319 0.046 0.638
Hg3 Hg 0.321 0.594 0.640
```

---

RbSn3Hg3 | PBE | optimized geometry

Output
* raw total energy: -2.0702 eV/atom
* total moment: 0.00 μB per formula unit
* ΔH_f (0 K): -0.0871 eV/atom
* D(E_F): 0.29 states/eV/atom

```
data_RbSn3Hg3
_symmetry_space_group_name_H-M 'P 63/m'
_symmetry_Int_Tables_number 176
_symmetry_space_group_name_Hall '-P 6c'
_cell_length_a 10.3040
_cell_length_b 10.3040
_cell_length_c 5.0128
_cell_angle_alpha 90.00
_cell_angle_beta 90.00
_cell_angle_gamma 120.00
loop_
_atom_site_label
_atom_site_type_symbol
_atom_site_fract_x
_atom_site_fract_y
_atom_site_fract_z
Rb1 Rb 0.3333 0.6667 0.2500
Sn1 Sn 0.0348 0.8297 0.2500
Hg1 Hg 0.0613 0.6379 0.7500
```

---

Rb4Sn21Hg2 | PBE | optimized geometry

Output
* raw total energy: -3.4503 eV/atom
* total moment: 0.00 μB per formula unit
* ΔH_f (0 K): -0.1712 eV/atom
* D(E_F): 0.04 states/eV/atom

```
data_Rb4Sn21Hg2
_symmetry_space_group_name_H-M 'A m a 2'
_symmetry_Int_Tables_number 40
_cell_length_a 12.447
_cell_length_b 17.597
_cell_length_c 17.616
_cell_angle_alpha 90.00
_cell_angle_beta 90.00
_cell_angle_gamma 90.00
loop_
_symmetry_equiv_pos_as_xyz
'x,y,z'
'-x,-y,z'
'-x+1/2,y,z'
'x+1/2,-y,z'
'x,y+1/2,z+1/2'
'-x,-y+1/2,z+1/2'
'-x+1/2,y+1/2,z+1/2'
'x+1/2,-y+1/2,z+1/2'
loop_
_atom_site_label
_atom_site_type_symbol
_atom_site_fract_x
_atom_site_fract_y
_atom_site_fract_z
Rb1 Rb 0.000 0.000 0.000
Rb2 Rb 0.250 0.115 0.358
Rb3 Rb 0.250 0.251 0.736
Rb4 Rb 0.250 0.373 0.100
Sn1 Sn 0.056 0.308 0.294
Sn2 Sn 0.065 0.191 0.176
Sn3 Sn 0.065 0.248 0.553
Sn4 Sn 0.067 0.066 0.734
Sn5 Sn 0.067 0.432 0.735
Sn6 Sn 0.069 0.249 0.919
Sn7 Sn 0.132 0.405 0.891
Sn8 Sn 0.133 0.093 0.579
Sn9 Sn 0.250 0.038 0.831
Sn10 Sn 0.250 0.151 0.953
Sn11 Sn 0.250 0.344 0.524
Sn12 Sn 0.250 0.375 0.361
Sn13 Sn 0.250 0.465 0.639
Hg1 Hg 0.000 0.000 0.484
Hg2 Hg 0.250 0.124 0.111
```

---

Rb12Sn3Hg5 | PBE | optimized geometry

Output
* raw total energy: -1.2540 eV/atom
* total moment: 0.69 μB per formula unit
* ΔH_f (0 K): 0.0025 eV/atom
* D(E_F): 0.51 states/eV/atom

```
data_Rb12Sn3Hg5
_symmetry_space_group_name_H-M 'I a -3 d'
_symmetry_Int_Tables_number 230
_symmetry_space_group_name_Hall '-I 4bd 2c 3'
_cell_length_a 21.522
_cell_length_b 21.522
_cell_length_c 21.522
_cell_angle_alpha 90.00
_cell_angle_beta 90.00
_cell_angle_gamma 90.00
loop_
_atom_site_label
_atom_site_type_symbol
_atom_site_fract_x
_atom_site_fract_y
_atom_site_fract_z
Rb1 Rb 0.015 0.076 0.655
Sn1 Sn 0.000 0.250 0.125
Hg1 Hg 0.000 0.000 0.000
Hg2 Hg 0.000 0.250 0.375
```

---

Rb2SnHg10 | PBE | optimized geometry

Output
* raw total energy: -0.7789 eV/atom
* total moment: 0.00 μB per formula unit
* ΔH_f (0 K): -0.0900 eV/atom
* D(E_F): 0.41 states/eV/atom

```
data_Rb2SnHg10
_symmetry_space_group_name_H-M 'P b a m'
_symmetry_Int_Tables_number 55
_cell_length_a 10.804
_cell_length_b 12.551
_cell_length_c 6.925
_cell_angle_alpha 90.00
_cell_angle_beta 90.00
_cell_angle_gamma 90.00
loop_
_symmetry_equiv_pos_as_xyz
'x,y,z'
'-x,-y,-z'
'-x,-y,z'
'x,y,-z'
'x+1/2,-y+1/2,-z'
'-x+1/2,y+1/2,z'
'-x+1/2,y+1/2,-z'
'x+1/2,-y+1/2,z'
loop_
_atom_site_label
_atom_site_type_symbol
_atom_site_fract_x
_atom_site_fract_y
_atom_site_fract_z
Rb1 Rb 0.238 0.070 0.000
Sn1 Sn 0.000 0.000 0.500
Hg1 Hg 0.044 0.626 0.500
Hg2 Hg 0.073 0.813 0.212
Hg3 Hg 0.180 0.197 0.500
Hg4 Hg 0.226 0.438 0.500
```